Sc2HAu (PBE, optimized geometry); energy above the most stable polymorph in this dataset = 296 meV/atom; symmetry = No. 225
1.0
0.000 3.267 3.267
3.267 0.000 3.267
3.267 3.267 0.000
Sc H Au
2 1 1
Direct
0.750 0.750 0.750 Sc
0.250 0.250 0.250 Sc
0.000 0.000 0.000 H
0.500 0.500 0.500 Au

***

KPtSe2 (PBE, optimized geometry); symmetry = No. 119; raw formation energy = 179 meV per atom
1.0
5.736 0.000 0.000
2.688 5.067 0.000
-4.212 -2.533 2.957
Se K Pt
2 1 1
Direct
0.250 0.750 0.500 Se
0.000 0.000 0.000 Se
0.500 0.500 0.000 K
0.750 0.250 0.500 Pt